## Ta2InIr (SCAN)

Data for Ta2InIr at its PBEsol-relaxed geometry.

Output
- size of the total moment (μB/f.u.) = 0.00
- space-group type = P4/mmm
- energy of formation from the pure elements (meV per atom) = -39
- DOS at the Fermi energy (states/eV/f.u.) = 3.8

Cell: 3.4744 3.4744 5.7859 Å, 90.00 90.00 90.00°
Closest atoms and distances in Å follow each position.
Fractional coordinates of all 4 atoms:
Ta: 0.0000 0.0000 0.2236  1 Ta 2.59, 4 Ir 2.78
Ta: 0.0000 0.0000 0.7764  1 Ta 2.59, 4 Ir 2.78
In: 0.5000 0.5000 0.5000  2 Ir 2.89, 8 Ta 2.93
Ir: 0.5000 0.5000 0.0000  8 Ta 2.78, 2 In 2.89